(1)
A relaxed structure of Zr2Ta4Ni3C3. Source: OQMD, functional GGA-PBE.

Summary:
Total moment in μB per cell: 0.0
Symmetry: C2/c

The structure in POSCAR format:
```
Zr2Ta4Ni3C3
1.0
4.693 -2.707 0.000
4.693 2.707 0.000
-3.263 0.000 13.213
Zr Ta Ni C
4 8 6 6
direct
0.040 0.877 0.616 Zr
0.123 0.960 0.884 Zr
0.877 0.040 0.116 Zr
0.960 0.123 0.384 Zr
0.196 0.359 0.090 Ta
0.297 0.476 0.410 Ta
0.359 0.196 0.590 Ta
0.476 0.297 0.910 Ta
0.524 0.703 0.090 Ta
0.641 0.804 0.410 Ta
0.703 0.524 0.590 Ta
0.804 0.641 0.910 Ta
0.086 0.398 0.750 Ni
0.398 0.086 0.250 Ni
0.427 0.573 0.250 Ni
0.573 0.427 0.750 Ni
0.602 0.914 0.750 Ni
0.914 0.602 0.250 Ni
0.000 0.500 0.500 C
0.167 0.666 0.000 C
0.334 0.833 0.500 C
0.500 0.000 0.000 C
0.666 0.167 0.500 C
0.833 0.334 0.000 C
```

(2)
A relaxed structure of Ba2HfNb. Source: OQMD, functional GGA-PBE.

Summary:
Total moment in μB per cell: 0.7
Symmetry: F-43m

The structure in POSCAR format:
```
Ba2HfNb
1.0
0.000 3.930 3.930
3.930 0.000 3.930
3.930 3.930 0.000
Ba Hf Nb
2 1 1
direct
0.000 0.000 0.000 Ba
0.250 0.250 0.250 Ba
0.750 0.750 0.750 Hf
0.500 0.500 0.500 Nb
```

(3)
A relaxed structure of AlCoBiAu. Source: OQMD, functional GGA-PBE.

Summary:
Energy relative to the lowest polymorph listed for this composition in meV per atom: 0
Total moment in μB per cell: 0.4
Symmetry: F-43m

The structure in POSCAR format:
```
AlCoBiAu
1.0
0.000 3.326 3.326
3.326 0.000 3.326
3.326 3.326 0.000
Al Co Bi Au
1 1 1 1
direct
0.000 0.000 0.000 Al
0.750 0.750 0.750 Co
0.500 0.500 0.500 Bi
0.250 0.250 0.250 Au
```

(4)
A relaxed structure of ErTeAsO. Source: OQMD, functional GGA-PBE.

Summary:
Energy relative to the lowest polymorph listed for this composition in meV per atom: 7
Total moment in μB per cell: 0.0
Symmetry: Pmc2_1

The structure in POSCAR format:
```
ErTeAsO
1.0
5.560 0.000 0.000
0.000 7.118 0.000
0.000 0.000 5.934
Er Te As O
2 2 2 2
direct
0.000 0.182 0.000 Er
0.000 0.818 0.500 Er
0.500 0.324 0.508 Te
0.500 0.676 0.008 Te
0.500 0.310 0.001 As
0.500 0.690 0.501 As
0.000 0.036 0.287 O
0.000 0.964 0.787 O
```

(5)
A relaxed structure of BeAgGeAu. Source: OQMD, functional GGA-PBE.

Summary:
Energy relative to the lowest polymorph listed for this composition in meV per atom: 53
Symmetry: F-43m

The structure in POSCAR format:
```
BeAgGeAu
1.0
0.000 3.206 3.206
3.206 0.000 3.206
3.206 3.206 0.000
Be Ag Ge Au
1 1 1 1
direct
0.000 0.000 0.000 Be
0.500 0.500 0.500 Ag
0.250 0.250 0.250 Ge
0.750 0.750 0.750 Au
```

(6)
A relaxed structure of NaHoHgS3. Source: OQMD, functional GGA-PBE.

Summary:
Energy relative to the lowest polymorph listed for this composition in meV per atom: 4
Total moment in μB per cell: 0.0
Symmetry: Cmcm

The structure in POSCAR format:
```
NaHoHgS3
1.0
2.013 -6.671 0.000
2.013 6.671 0.000
0.000 0.000 10.726
Na Ho Hg S
2 2 2 6
direct
0.242 0.758 0.750 Na
0.758 0.242 0.250 Na
0.500 0.500 0.000 Ho
0.500 0.500 0.500 Ho
0.047 0.953 0.250 Hg
0.953 0.047 0.750 Hg
0.136 0.864 0.047 S
0.136 0.864 0.453 S
0.419 0.581 0.250 S
0.581 0.419 0.750 S
0.864 0.136 0.547 S
0.864 0.136 0.953 S
```

(7)
A relaxed structure of NdDyTc. Source: OQMD, functional GGA-PBE.

Summary:
Energy relative to the lowest polymorph listed for this composition in meV per atom: 0
Total moment in μB per cell: 0.0
Symmetry: F-43m

The structure in POSCAR format:
```
NdDyTc
1.0
0.000 3.402 3.402
3.402 0.000 3.402
3.402 3.402 0.000
Nd Dy Tc
1 1 1
direct
0.000 0.000 0.000 Nd
0.250 0.250 0.250 Dy
0.500 0.500 0.500 Tc
```

(8)
A relaxed structure of Lu2HfSb. Source: OQMD, functional GGA-PBE.

Summary:
Total moment in μB per cell: 0.1
Symmetry: F-43m

The structure in POSCAR format:
```
Lu2HfSb
1.0
0.000 3.640 3.640
3.640 0.000 3.640
3.640 3.640 0.000
Lu Hf Sb
2 1 1
direct
0.000 0.000 0.000 Lu
0.250 0.250 0.250 Lu
0.750 0.750 0.750 Hf
0.500 0.500 0.500 Sb
```

(9)
A relaxed structure of GePtO3. Source: OQMD, functional GGA-PBE.

Summary:
Total moment in μB per cell: 0.0
Symmetry: R-3c

The structure in POSCAR format:
```
GePtO3
1.0
2.731 1.577 4.623
-2.731 1.577 4.623
0.000 -3.153 4.623
Ge Pt O
2 2 6
direct
0.250 0.250 0.250 Ge
0.750 0.750 0.750 Ge
0.000 0.000 0.000 Pt
0.500 0.500 0.500 Pt
0.088 0.750 0.412 O
0.250 0.588 0.912 O
0.412 0.088 0.750 O
0.588 0.912 0.250 O
0.750 0.412 0.088 O
0.912 0.250 0.588 O
```

(10)
A relaxed structure of SmHoBC2. Source: OQMD, functional GGA-PBE.

Summary:
Total moment in μB per cell: 0.0
Symmetry: Cm

The structure in POSCAR format:
```
SmHoBC2
1.0
2.600 -2.600 0.000
2.600 2.600 0.000
-2.518 0.000 5.495
Sm Ho B C
1 1 1 2
direct
0.000 0.000 0.000 Sm
0.699 0.699 0.411 Ho
0.354 0.354 0.713 B
0.215 0.215 0.442 C
0.491 0.491 0.984 C
```

(11)
A relaxed structure of Nd3Ge4Pd2Pt2. Source: OQMD, functional GGA-PBE.

Summary:
Total moment in μB per cell: 0.0
Symmetry: Immm

The structure in POSCAR format:
```
Nd3Ge4Pd2Pt2
1.0
-2.060 2.185 12.716
2.060 -2.185 12.716
2.060 2.185 -12.716
Nd Ge Pd Pt
3 4 2 2
direct
0.000 0.000 0.000 Nd
0.352 0.852 0.500 Nd
0.648 0.148 0.500 Nd
0.193 0.693 0.500 Ge
0.451 0.451 0.000 Ge
0.549 0.549 0.000 Ge
0.807 0.307 0.500 Ge
0.096 0.596 0.500 Pd
0.904 0.404 0.500 Pd
0.250 0.250 0.000 Pt
0.750 0.750 0.000 Pt
```

(12)
A relaxed structure of SrDy2Se4. Source: OQMD, functional GGA-PBE.

Summary:
Energy relative to the lowest polymorph listed for this composition in meV per atom: 0
Total moment in μB per cell: 0.0
Symmetry: Pnma

The structure in POSCAR format:
```
SrDy2Se4
1.0
12.581 0.000 0.000
0.000 4.151 0.000
0.000 0.000 15.005
Sr Dy Se
4 8 16
direct
0.243 0.250 0.164 Sr
0.257 0.750 0.664 Sr
0.743 0.250 0.336 Sr
0.757 0.750 0.836 Sr
0.067 0.250 0.390 Dy
0.081 0.250 0.901 Dy
0.419 0.750 0.401 Dy
0.433 0.750 0.890 Dy
0.567 0.250 0.110 Dy
0.581 0.250 0.599 Dy
0.919 0.750 0.099 Dy
0.933 0.750 0.610 Dy
0.024 0.750 0.784 Se
0.088 0.250 0.579 Se
0.132 0.750 0.029 Se
0.207 0.750 0.326 Se
0.293 0.250 0.826 Se
0.368 0.250 0.529 Se
0.412 0.750 0.079 Se
0.476 0.250 0.284 Se
0.524 0.750 0.716 Se
0.588 0.250 0.921 Se
0.632 0.750 0.471 Se
0.707 0.750 0.174 Se
0.793 0.250 0.674 Se
0.868 0.250 0.971 Se
0.912 0.750 0.421 Se
0.976 0.250 0.216 Se
```

| no. | total energy (eV/atom) |
| --- | --- |
| 1 | -9.570 |
| 2 | -4.922 |
| 3 | -4.213 |
| 4 | -5.638 |
| 5 | -3.292 |
| 6 | -4.237 |
| 7 | -5.658 |
| 8 | -5.820 |
| 9 | -5.680 |
| 10 | -7.281 |
| 11 | -5.933 |
| 12 | -5.502 |